Entry 1:
VASP calculation (GGA-PBEsol) on LaSbPt2 after structural relaxation.

abc: 3.720 3.719 6.172
angles: 90.00 90.22 90.00
Fractional coordinates of all 4 atoms:
La1 0.000 0.000 0.000
Sb1 0.000 0.000 0.500
Pt1 0.499 0.500 0.728
Pt2 0.501 0.500 0.272

Summary:
Its space group is No. 10. The raw total energy comes out at -6.54 eV/atom.

***

Entry 2:
VASP calculation (GGA-PBEsol) on LaSb2Pt after structural relaxation.

abc: 4.031 4.757 9.974
angles: 90.00 90.00 90.00
Fractional coordinates of all 8 atoms:
La1 0.000 0.000 0.000
La2 0.500 0.500 0.500
Sb1 0.000 0.000 0.456
Sb2 0.000 0.500 0.232
Sb3 0.500 0.000 0.732
Sb4 0.500 0.500 0.956
Pt1 0.000 0.500 0.771
Pt2 0.500 0.000 0.271

Summary:
Its space group is No. 44. The raw total energy comes out at -6.01 eV/atom.

***

Entry 3:
VASP calculation (GGA-PBEsol) on LaSb3Pt after structural relaxation.

abc: 5.225 5.225 5.225
angles: 90.00 90.00 90.00
Fractional coordinates of all 5 atoms:
La1 0.000 0.000 0.000
Sb1 0.000 0.500 0.500
Sb2 0.500 0.000 0.500
Sb3 0.500 0.500 0.000
Pt1 0.500 0.500 0.500

Summary:
Its space group is No. 221. The raw total energy comes out at -5.43 eV/atom.

***

Entry 4:
VASP calculation (GGA-PBEsol) on LaSbPt3 after structural relaxation.

abc: 4.924 4.924 4.924
angles: 90.00 90.00 90.00
Fractional coordinates of all 5 atoms:
La1 0.000 0.000 0.000
Sb1 0.500 0.500 0.500
Pt1 0.000 0.500 0.500
Pt2 0.500 0.000 0.500
Pt3 0.500 0.500 0.000

Summary:
Its space group is No. 221. The raw total energy comes out at -6.34 eV/atom.

***

Entry 5:
VASP calculation (GGA-PBEsol) on LaSbPt after structural relaxation.

abc: 3.544 3.544 11.208
angles: 90.00 90.00 90.00
Fractional coordinates of all 6 atoms:
La1 0.000 0.000 0.000
La2 0.500 0.500 0.500
Sb1 0.000 0.000 0.713
Sb2 0.500 0.500 0.213
Pt1 0.000 0.000 0.335
Pt2 0.500 0.500 0.835

Summary:
Its space group is No. 107. The raw total energy comes out at -6.35 eV/atom.

***

Entry 6:
VASP calculation (GGA-PBEsol) on LaSbPt after structural relaxation.

abc: 4.535 4.535 4.148
angles: 90.00 90.00 120.00
Fractional coordinates of all 3 atoms:
La1 0.000 0.000 0.000
Sb1 0.667 0.333 0.511
Pt1 0.333 0.667 0.461

Summary:
Its space group is No. 156. The raw total energy comes out at -6.79 eV/atom.

***

Entry 7:
VASP calculation (GGA-PBEsol) on La2ScPt after structural relaxation.

abc: 3.477 3.477 8.517
angles: 90.00 90.00 90.00
Fractional coordinates of all 4 atoms:
La1 0.000 0.000 0.000
La2 0.500 0.500 0.328
Sc1 0.500 0.500 0.708
Pt1 0.000 0.000 0.559

Summary:
The formation energy is -0.5160 eV/atom. The offset from the most stable computed form is 0.000 eV per atom. Its space group is No. 99.

***

Entry 8:
VASP calculation (GGA-PBEsol) on LaScPt after structural relaxation.

abc: 6.601 6.601 6.601
angles: 90.00 90.00 90.00
Fractional coordinates of all 12 atoms:
La1 0.000 0.000 0.000
La2 0.000 0.500 0.500
La3 0.500 0.000 0.500
La4 0.500 0.500 0.000
Sc1 0.250 0.250 0.250
Sc2 0.250 0.750 0.750
Sc3 0.750 0.250 0.750
Sc4 0.750 0.750 0.250
Pt1 0.250 0.250 0.750
Pt2 0.250 0.750 0.250
Pt3 0.750 0.250 0.250
Pt4 0.750 0.750 0.750

Summary:
The formation energy is 0.0199 eV/atom. Its space group is No. 216.

***

Entry 9:
VASP calculation (GGA-PBEsol) on La2ScPt after structural relaxation.

abc: 3.755 3.755 7.426
angles: 90.00 90.00 90.00
Fractional coordinates of all 4 atoms:
La1 0.000 0.000 0.217
La2 0.000 0.000 0.783
Sc1 0.500 0.500 0.500
Pt1 0.500 0.500 0.000

Summary:
The formation energy is -0.4390 eV/atom. The offset from the most stable computed form is 0.077 eV per atom. Its space group is No. 123.

***

Entry 10:
VASP calculation (GGA-PBEsol) on LaSc2Pt after structural relaxation.

abc: 3.552 4.454 6.089
angles: 90.00 106.76 90.00
Fractional coordinates of all 4 atoms:
La1 0.000 0.000 0.000
Sc1 0.384 0.500 0.710
Sc2 0.616 0.500 0.290
Pt1 0.000 0.000 0.500

Summary:
The formation energy is -0.3977 eV/atom. Its space group is No. 10.

***

Entry 11:
VASP calculation (GGA-PBEsol) on La4ScPt after structural relaxation.

abc: 6.191 6.191 6.191
angles: 60.00 60.00 60.00
Fractional coordinates of all 6 atoms:
La1 0.376 0.376 0.376
La2 0.376 0.376 0.871
La3 0.376 0.871 0.376
La4 0.871 0.376 0.376
Sc1 0.000 0.000 0.000
Pt1 0.750 0.750 0.750

Summary:
The formation energy is 0.3957 eV/atom. Its space group is No. 216.

***

Entry 12:
VASP calculation (GGA-PBEsol) on La2ScPt2 after structural relaxation.

abc: 7.584 7.584 4.142
angles: 90.00 90.00 90.00
Fractional coordinates of all 10 atoms:
La1 0.168 0.332 0.000
La2 0.332 0.832 0.000
La3 0.668 0.168 0.000
La4 0.832 0.668 0.000
Sc1 0.000 0.000 0.500
Sc2 0.500 0.500 0.500
Pt1 0.138 0.638 0.500
Pt2 0.362 0.138 0.500
Pt3 0.638 0.862 0.500
Pt4 0.862 0.362 0.500

Summary:
The formation energy is -0.9096 eV/atom. Its space group is No. 127.

***

Copy entry 1 word for word.
VASP calculation (GGA-PBEsol) on LaSbPt2 after structural relaxation.

abc: 3.720 3.719 6.172
angles: 90.00 90.22 90.00
Fractional coordinates of all 4 atoms:
La1 0.000 0.000 0.000
Sb1 0.000 0.000 0.500
Pt1 0.499 0.500 0.728
Pt2 0.501 0.500 0.272

Summary:
Its space group is No. 10. The raw total energy comes out at -6.54 eV/atom.

***

Copy entry 10 word for word.
VASP calculation (GGA-PBEsol) on LaSc2Pt after structural relaxation.

abc: 3.552 4.454 6.089
angles: 90.00 106.76 90.00
Fractional coordinates of all 4 atoms:
La1 0.000 0.000 0.000
Sc1 0.384 0.500 0.710
Sc2 0.616 0.500 0.290
Pt1 0.000 0.000 0.500

Summary:
The formation energy is -0.3977 eV/atom. Its space group is No. 10.